# NdEr2Os, optimized geometry, DFT PBE-GGA
data_NdEr2Os
_symmetry_space_group_name_H-M 'P n m a'
_symmetry_Int_Tables_number 62
_cell_length_a 7.470
_cell_length_b 9.031
_cell_length_c 6.390
_cell_angle_alpha 90.00
_cell_angle_beta 90.00
_cell_angle_gamma 90.00
loop_
_symmetry_equiv_pos_as_xyz
'x,y,z'
'-x,-y,-z'
'-x+1/2,-y,z+1/2'
'x+1/2,y,-z+1/2'
'x+1/2,-y+1/2,-z+1/2'
'-x+1/2,y+1/2,z+1/2'
'-x,y+1/2,-z'
'x,-y+1/2,z'
loop_
_atom_site_label
_atom_site_type_symbol
_atom_site_fract_x
_atom_site_fract_y
_atom_site_fract_z
Nd1 Nd 0.039 0.250 0.127
Er1 Er 0.174 0.064 0.663
Os1 Os 0.117 0.750 0.448
# Polymorph energy (0 for the lowest one)   0.00 eV/f.u.
# ΔH_f (0 K)   -224 meV/atom